P:
Compound: DyTm3Sc3
Source: Alexandria
Functional: PBE
Structure: relaxed

Geometry as CIF:
```
data_DyTm3Sc3
_space_group_name_H-M_alt 'P -1'
_space_group_IT_number 2
_space_group_name_Hall '-P 1'
_cell_length_a 5.887
_cell_length_b 5.890
_cell_length_c 14.003
_cell_angle_alpha 77.89
_cell_angle_beta 77.91
_cell_angle_gamma 60.03
loop_
_atom_site_label
_atom_site_type_symbol
_atom_site_fract_x
_atom_site_fract_y
_atom_site_fract_z
_atom_site_occupancy
Dy1 Dy 0.167 0.167 0.000 1
Tm1 Tm 0.096 0.430 0.210 1
Tm2 Tm 0.236 0.904 0.790 1
Tm3 Tm 0.430 0.764 0.210 1
Sc1 Sc 0.032 0.697 0.407 1
Sc2 Sc 0.303 0.636 0.593 1
Sc3 Sc 0.364 0.032 0.407 1
```

***

Q:
Compound: DyTm3Sc3
Source: Alexandria
Functional: PBE
Structure: relaxed

Geometry as CIF:
```
data_DyTm3Sc3
_space_group_name_H-M_alt 'P 63/m'
_space_group_IT_number 176
_space_group_name_Hall '-P 6c'
_cell_length_a 9.1613
_cell_length_b 9.1613
_cell_length_c 5.3945
_cell_angle_alpha 90.00
_cell_angle_beta 90.00
_cell_angle_gamma 120.00
loop_
_atom_site_label
_atom_site_type_symbol
_atom_site_fract_x
_atom_site_fract_y
_atom_site_fract_z
_atom_site_occupancy
Dy1 Dy 0.3333 0.6667 0.2500 1
Tm1 Tm 0.0471 0.8046 0.2500 1
Sc1 Sc 0.0956 0.6153 0.7500 1
```

***

So which one is most stable? That would be Q, about 0.135 eV/atom below the next structure.

***

P:
Compound: Dy4Tm5Sc2
Source: Alexandria
Functional: PBE
Structure: relaxed

Geometry as CIF:
```
data_Dy4Tm5Sc2
_space_group_name_H-M_alt 'P -1'
_space_group_IT_number 2
_space_group_name_Hall '-P 1'
_cell_length_a 3.594
_cell_length_b 8.887
_cell_length_c 10.978
_cell_angle_alpha 108.43
_cell_angle_beta 99.42
_cell_angle_gamma 90.01
loop_
_atom_site_label
_atom_site_type_symbol
_atom_site_fract_x
_atom_site_fract_y
_atom_site_fract_z
_atom_site_occupancy
Dy1 Dy 0.024 0.207 0.047 1
Dy2 Dy 0.128 0.738 0.256 1
Tm1 Tm 0.232 0.156 0.464 1
Tm2 Tm 0.330 0.569 0.661 1
Tm3 Tm 0.500 0.500 0.000 1
Sc1 Sc 0.399 0.973 0.798 1
```

***

Q:
Compound: Dy4Tm5Sc2
Source: Alexandria
Functional: PBE
Structure: relaxed

Geometry as CIF:
```
data_Dy4Tm5Sc2
_space_group_name_H-M_alt 'I m m m'
_space_group_IT_number 71
_space_group_name_Hall '-I 2 2'
_cell_length_a 3.426
_cell_length_b 8.962
_cell_length_c 22.238
_cell_angle_alpha 90.00
_cell_angle_beta 90.00
_cell_angle_gamma 90.00
loop_
_atom_site_label
_atom_site_type_symbol
_atom_site_fract_x
_atom_site_fract_y
_atom_site_fract_z
_atom_site_occupancy
Dy1 Dy 0.000 0.000 0.099 1
Dy2 Dy 0.000 0.305 0.500 1
Tm1 Tm 0.000 0.202 0.349 1
Tm2 Tm 0.000 0.500 0.000 1
Sc1 Sc 0.000 0.000 0.230 1
```

***

So which one is most stable? That would be P, about 0.227 eV/atom below the next structure.

***

P:
Compound: DyTm3Sc6
Source: Alexandria
Functional: PBE
Structure: relaxed

Geometry as CIF:
```
data_DyTm3Sc6
_space_group_name_H-M_alt 'R 3'
_space_group_IT_number 146
_space_group_name_Hall 'R 3'
_cell_length_a 9.1818
_cell_length_b 9.1818
_cell_length_c 11.3174
_cell_angle_alpha 90.00
_cell_angle_beta 90.00
_cell_angle_gamma 120.00
loop_
_atom_site_label
_atom_site_type_symbol
_atom_site_fract_x
_atom_site_fract_y
_atom_site_fract_z
_atom_site_occupancy
Dy1 Dy 0.0000 0.0000 0.0000 1
Tm1 Tm 0.0000 0.0000 0.2505 1
Tm2 Tm 0.0000 0.0000 0.5000 1
Tm3 Tm 0.0000 0.0000 0.7491 1
Sc1 Sc 0.0002 0.3357 0.0009 1
Sc2 Sc 0.0002 0.6660 0.5007 1
```

***

Q:
Compound: DyTm3Sc6
Source: Alexandria
Functional: PBE
Structure: relaxed

Geometry as CIF:
```
data_DyTm3Sc6
_space_group_name_H-M_alt 'C m c 21'
_space_group_IT_number 36
_space_group_name_Hall 'C 2c -2'
_cell_length_a 10.431
_cell_length_b 17.867
_cell_length_c 5.816
_cell_angle_alpha 90.00
_cell_angle_beta 90.00
_cell_angle_gamma 90.00
loop_
_atom_site_label
_atom_site_type_symbol
_atom_site_fract_x
_atom_site_fract_y
_atom_site_fract_z
_atom_site_occupancy
Dy1 Dy 0.000 0.210 0.000 1
Tm1 Tm 0.000 0.394 0.096 1
Tm2 Tm 0.174 0.105 0.692 1
Sc1 Sc 0.000 0.048 0.231 1
Sc2 Sc 0.000 0.286 0.519 1
Sc3 Sc 0.166 0.449 0.638 1
Sc4 Sc 0.246 0.214 0.296 1
```

***

So which one is most stable? That would be Q, about 0.241 eV/atom below the next structure.

***

P:
Compound: Dy7Tm12Sc
Source: Alexandria
Functional: PBE
Structure: relaxed

Geometry as CIF:
```
data_Dy7Tm12Sc
_space_group_name_H-M_alt 'R -3'
_space_group_IT_number 148
_space_group_name_Hall '-R 3'
_cell_length_a 12.5880
_cell_length_b 12.5880
_cell_length_c 13.4862
_cell_angle_alpha 90.00
_cell_angle_beta 90.00
_cell_angle_gamma 120.00
loop_
_atom_site_label
_atom_site_type_symbol
_atom_site_fract_x
_atom_site_fract_y
_atom_site_fract_z
_atom_site_occupancy
Dy1 Dy 0.0000 0.0000 0.0000 1
Dy2 Dy 0.0672 0.2014 0.3581 1
Tm1 Tm 0.0059 0.5684 0.7431 1
Tm2 Tm 0.0666 0.8685 0.8412 1
Sc1 Sc 0.0000 0.0000 0.5000 1
```

***

Q:
Compound: Dy7Tm12Sc
Source: Alexandria
Functional: PBE
Structure: relaxed

Geometry as CIF:
```
data_Dy7Tm12Sc
_space_group_name_H-M_alt 'R -3'
_space_group_IT_number 148
_space_group_name_Hall '-R 3'
_cell_length_a 18.3756
_cell_length_b 18.3756
_cell_length_c 6.5649
_cell_angle_alpha 90.00
_cell_angle_beta 90.00
_cell_angle_gamma 120.00
loop_
_atom_site_label
_atom_site_type_symbol
_atom_site_fract_x
_atom_site_fract_y
_atom_site_fract_z
_atom_site_occupancy
Dy1 Dy 0.0000 0.0000 0.0000 1
Dy2 Dy 0.0105 0.8554 0.2966 1
Tm1 Tm 0.0001 0.2127 0.2038 1
Tm2 Tm 0.0083 0.4726 0.2369 1
Sc1 Sc 0.0000 0.0000 0.5000 1
```

***

So which one is most stable? That would be P, about 0.033 eV/atom below the next structure.

***

P:
Compound: Dy5TmSc
Source: Alexandria
Functional: PBE
Structure: relaxed

Geometry as CIF:
```
data_Dy5TmSc
_space_group_name_H-M_alt 'I m m 2'
_space_group_IT_number 44
_space_group_name_Hall 'I 2 -2'
_cell_length_a 8.041
_cell_length_b 11.381
_cell_length_c 5.967
_cell_angle_alpha 90.00
_cell_angle_beta 90.00
_cell_angle_gamma 90.00
loop_
_atom_site_label
_atom_site_type_symbol
_atom_site_fract_x
_atom_site_fract_y
_atom_site_fract_z
_atom_site_occupancy
Dy1 Dy 0.000 0.000 0.000 1
Dy2 Dy 0.000 0.252 0.736 1
Dy3 Dy 0.176 0.500 0.237 1
Tm1 Tm 0.000 0.000 0.478 1
Sc1 Sc 0.000 0.500 0.737 1
```

***

Q:
Compound: Dy5TmSc
Source: Alexandria
Functional: PBE
Structure: relaxed

Geometry as CIF:
```
data_Dy5TmSc
_space_group_name_H-M_alt 'C 1 2/m 1'
_space_group_IT_number 12
_space_group_name_Hall '-C 2y'
_cell_length_a 6.774
_cell_length_b 9.994
_cell_length_c 6.832
_cell_angle_alpha 90.00
_cell_angle_beta 106.94
_cell_angle_gamma 90.00
loop_
_atom_site_label
_atom_site_type_symbol
_atom_site_fract_x
_atom_site_fract_y
_atom_site_fract_z
_atom_site_occupancy
Dy1 Dy 0.000 0.000 0.000 1
Dy2 Dy 0.188 0.285 0.735 1
Tm1 Tm 0.000 0.000 0.500 1
Sc1 Sc 0.000 0.500 0.000 1
```

***

So which one is most stable? That would be Q, about 0.756 eV/atom below the next structure.

***

P:
Compound: Dy7Tm2Sc2
Source: Alexandria
Functional: PBE
Structure: relaxed

Geometry as CIF:
```
data_Dy7Tm2Sc2
_space_group_name_H-M_alt 'C m m m'
_space_group_IT_number 65
_space_group_name_Hall '-C 2 2'
_cell_length_a 6.475
_cell_length_b 11.611
_cell_length_c 9.351
_cell_angle_alpha 90.00
_cell_angle_beta 90.00
_cell_angle_gamma 90.00
loop_
_atom_site_label
_atom_site_type_symbol
_atom_site_fract_x
_atom_site_fract_y
_atom_site_fract_z
_atom_site_occupancy
Dy1 Dy 0.000 0.000 0.000 1
Dy2 Dy 0.000 0.500 0.182 1
Dy3 Dy 0.250 0.250 0.307 1
Tm1 Tm 0.250 0.000 0.500 1
Sc1 Sc 0.000 0.271 0.000 1
```

***

Q:
Compound: Dy7Tm2Sc2
Source: Alexandria
Functional: PBE
Structure: relaxed

Geometry as CIF:
```
data_Dy7Tm2Sc2
_space_group_name_H-M_alt 'I m m 2'
_space_group_IT_number 44
_space_group_name_Hall 'I 2 -2'
_cell_length_a 3.533
_cell_length_b 16.755
_cell_length_c 11.416
_cell_angle_alpha 90.00
_cell_angle_beta 90.00
_cell_angle_gamma 90.00
loop_
_atom_site_label
_atom_site_type_symbol
_atom_site_fract_x
_atom_site_fract_y
_atom_site_fract_z
_atom_site_occupancy
Dy1 Dy 0.000 0.000 0.000 1
Dy2 Dy 0.000 0.199 0.759 1
Dy3 Dy 0.000 0.331 0.525 1
Dy4 Dy 0.000 0.336 0.993 1
Tm1 Tm 0.000 0.000 0.488 1
Tm2 Tm 0.000 0.500 0.239 1
Sc1 Sc 0.000 0.114 0.254 1
```

***

So which one is most stable? That would be Q, about 0.211 eV/atom below the next structure.

***

P:
Compound: Dy3Tm4Sc4
Source: Alexandria
Functional: PBE
Structure: relaxed

Geometry as CIF:
```
data_Dy3Tm4Sc4
_space_group_name_H-M_alt 'I m m m'
_space_group_IT_number 71
_space_group_name_Hall '-I 2 2'
_cell_length_a 3.432
_cell_length_b 4.816
_cell_length_c 37.631
_cell_angle_alpha 90.00
_cell_angle_beta 90.00
_cell_angle_gamma 90.00
loop_
_atom_site_label
_atom_site_type_symbol
_atom_site_fract_x
_atom_site_fract_y
_atom_site_fract_z
_atom_site_occupancy
Dy1 Dy 0.000 0.000 0.000 1
Dy2 Dy 0.000 0.000 0.363 1
Tm1 Tm 0.000 0.000 0.184 1
Tm2 Tm 0.000 0.000 0.453 1
Sc1 Sc 0.000 0.000 0.092 1
Sc2 Sc 0.000 0.000 0.272 1
```

***

Q:
Compound: Dy3Tm4Sc4
Source: Alexandria
Functional: PBE
Structure: relaxed

Geometry as CIF:
```
data_Dy3Tm4Sc4
_space_group_name_H-M_alt 'P -1'
_space_group_IT_number 2
_space_group_name_Hall '-P 1'
_cell_length_a 3.368
_cell_length_b 5.391
_cell_length_c 17.425
_cell_angle_alpha 98.87
_cell_angle_beta 95.53
_cell_angle_gamma 90.00
loop_
_atom_site_label
_atom_site_type_symbol
_atom_site_fract_x
_atom_site_fract_y
_atom_site_fract_z
_atom_site_occupancy
Dy1 Dy 0.000 0.000 0.000 1
Dy2 Dy 0.138 0.639 0.276 1
Tm1 Tm 0.318 0.817 0.635 1
Tm2 Tm 0.453 0.453 0.906 1
Sc1 Sc 0.266 0.266 0.532 1
Sc2 Sc 0.408 0.908 0.816 1
```

***

So which one is most stable? That would be P, about 0.019 eV/atom below the next structure.

***

P:
Compound: DyTm6Sc8
Source: Alexandria
Functional: PBE
Structure: relaxed

Geometry as CIF:
```
data_DyTm6Sc8
_space_group_name_H-M_alt 'R -3'
_space_group_IT_number 148
_space_group_name_Hall '-R 3'
_cell_length_a 5.8755
_cell_length_b 5.8755
_cell_length_c 40.7476
_cell_angle_alpha 90.00
_cell_angle_beta 90.00
_cell_angle_gamma 120.00
loop_
_atom_site_label
_atom_site_type_symbol
_atom_site_fract_x
_atom_site_fract_y
_atom_site_fract_z
_atom_site_occupancy
Dy1 Dy 0.0000 0.0000 0.0000 1
Tm1 Tm 0.0000 0.3348 0.0688 1
Sc1 Sc 0.0000 0.0000 0.3333 1
Sc2 Sc 0.9998 0.3333 0.1976 1
```

***

Q:
Compound: DyTm6Sc8
Source: Alexandria
Functional: PBE
Structure: relaxed

Geometry as CIF:
```
data_DyTm6Sc8
_space_group_name_H-M_alt 'R -3'
_space_group_IT_number 148
_space_group_name_Hall '-R 3'
_cell_length_a 8.5310
_cell_length_b 8.5310
_cell_length_c 19.6548
_cell_angle_alpha 90.00
_cell_angle_beta 90.00
_cell_angle_gamma 120.00
loop_
_atom_site_label
_atom_site_type_symbol
_atom_site_fract_x
_atom_site_fract_y
_atom_site_fract_z
_atom_site_occupancy
Dy1 Dy 0.0000 0.0000 0.0000 1
Tm1 Tm 0.0681 0.2496 0.7096 1
Sc1 Sc 0.0000 0.0000 0.4256 1
Sc2 Sc 0.0803 0.5535 0.8098 1
```

***

So which one is most stable? That would be P, about 0.105 eV/atom below the next structure.